[1]
## Zr7In6 (PBE-GGA)

Data for a geometry-optimized Zr7In6 structure.

The calculation puts the density of states at the Fermi level at 13.529 states/eV/f.u. The calculation puts the final energy at -228.48 eV for the cell shown. As for the formation energy: 0.1 eV per formula unit.

The structure belongs to space group R-3m (No. 166, hexagonal axes); the cell edges are 5.9148, 5.9148 and 30.5511 Å and the angles 90.00°, 90.00° and 120.00°. Symmetry generates all atoms from Zr at (0.0000, 0.0000, 0.0000), Zr at (0.0015, 0.5008, 0.4116), In at (0.0000, 0.0000, 0.1664), In at (0.0000, 0.0000, 0.3473) and In at (0.0000, 0.0000, 0.4481).



[2]
## ErVGa (PBE-GGA)

Data for a geometry-optimized ErVGa structure.

The calculation puts the density of states at the Fermi level at 2.711 states/eV/f.u. The calculation puts the final energy at -69.10 eV for the cell shown. For the energy relative to the lowest polymorph listed for this composition, the calculation gives 0.0 meV per atom. As for the formation energy: -0.6 eV per formula unit.

The structure belongs to space group Cmcm (No. 63); the cell edges are 3.927, 10.620 and 5.717 Å and the angles 90.00°, 90.00° and 90.00°. Symmetry generates all atoms from Er at (0.000, 0.197, 0.250), V at (0.000, 0.500, 0.000) and Ga at (0.000, 0.090, 0.750).



Repeat the second record exactly.
## ErVGa (PBE-GGA)

Data for a geometry-optimized ErVGa structure.

The calculation puts the density of states at the Fermi level at 2.711 states/eV/f.u. The calculation puts the final energy at -69.10 eV for the cell shown. For the energy relative to the lowest polymorph listed for this composition, the calculation gives 0.0 meV per atom. As for the formation energy: -0.6 eV per formula unit.

The structure belongs to space group Cmcm (No. 63); the cell edges are 3.927, 10.620 and 5.717 Å and the angles 90.00°, 90.00° and 90.00°. Symmetry generates all atoms from Er at (0.000, 0.197, 0.250), V at (0.000, 0.500, 0.000) and Ga at (0.000, 0.090, 0.750).